(1)
Entry from the Alexandria database: crystalline TcAs2SeF at its relaxed geometry (GGA-PBE).

Cell: 4.2581 4.2581 5.0154 Å, 90.00 90.00 90.00°
With the nearest neighbours (Å) after each atom.
Positions (direct):
As  0.0000  0.5000  0.0000  2 F 2.13
As  0.5000  0.0000  0.0000  2 F 2.13
F  0.0000  0.0000  0.0000  4 As 2.13
Se  0.0000  0.0000  0.5000  2 F 2.51
Tc  0.5000  0.5000  0.5000  4 Se 3.01, 8 As 3.29

Summary:
Energy above the most stable polymorph in this dataset = 47.5 kJ/mol of atoms
Energy relative to the elements, uncorrected = 0.63 eV per atom
Symmetry = No. 123
Total DFT energy (no corrections) = -4.375 eV/atom


(2)
Entry from the Alexandria database: crystalline Ba12CdAu5 at its relaxed geometry (GGA-PBE).

Cell: 10.0264 10.0264 10.0264 Å, 105.11 114.56 108.88°
With the nearest neighbours (Å) after each atom.
Positions (direct):
Ba  0.8949  0.1713  0.7236  4 Au 3.48-3.60
Ba  0.5523  0.8287  0.7236  4 Au 3.48-3.60
Ba  0.6885  0.3353  0.0238  3 Au 3.30-3.45
Ba  0.3115  0.3353  0.6468  3 Au 3.30-3.45
Ba  0.1051  0.8287  0.2764  4 Au 3.48-3.60
Ba  0.8153  0.0512  0.2359  2 Au 3.37-3.59
Ba  0.4477  0.1713  0.2764  4 Au 3.48-3.60
Ba  0.1847  0.9488  0.7641  2 Au 3.37-3.59
Ba  0.8153  0.5794  0.7641  2 Au 3.37-3.59
Ba  0.1847  0.4206  0.2359  2 Au 3.37-3.59
Ba  0.6885  0.6647  0.3532  3 Au 3.30-3.45
Ba  0.3115  0.6647  0.9762  3 Au 3.30-3.45
Au  0.6655  0.6655  0.0000  8 Ba 3.37-3.55
Au  0.0000  0.0000  0.0000  8 Ba 3.59-3.60, 2 Au 3.90
Au  0.5000  0.8775  0.3775  1 Au 2.99, 2 Ba 3.30
Au  0.5000  0.1225  0.6225  1 Au 2.99, 2 Ba 3.30
Au  0.3345  0.3345  0.0000  8 Ba 3.37-3.55
Cd  0.0000  0.5000  0.5000  8 Ba 3.87-3.93

Summary:
Energy relative to the elements = -7.82 eV/f.u.
Symmetry = No. 71
Total DFT energy (no corrections) = -2.678 eV/atom


(3)
Entry from the Alexandria database: crystalline La2PuHfN4 at its relaxed geometry (GGA-PBE).

Cell: 3.4704 6.0053 6.2090 Å, 108.69 90.00 90.00°
With the nearest neighbours (Å) after each atom.
Positions (direct):
La  0.0000  0.5000  0.5000  6 N 2.67-2.71
La  0.5000  0.0000  0.5000  6 N 2.59-2.62
N  0.0000  0.2515  0.7948  1 Hf 2.27, 2 Pu 2.38
N  0.5000  0.2251  0.2080  2 Hf 2.32, 1 Pu 2.40, 1 La 2.59
N  0.5000  0.7749  0.7920  2 Hf 2.32, 1 Pu 2.40, 1 La 2.59
N  0.0000  0.7485  0.2052  1 Hf 2.27, 2 Pu 2.38
Pu  0.5000  0.5000  0.0000  6 N 2.38-2.40
Hf  0.0000  0.0000  0.0000  6 N 2.27-2.32

Summary:
Energy relative to the elements, uncorrected = -1.43 eV per atom
Symmetry = No. 10
Total DFT energy (no corrections) = -9.865 eV/atom


(4)
Entry from the Alexandria database: crystalline CrSiNi2 at its relaxed geometry (GGA-PBE).

Cell: 3.5979 3.5979 3.5670 Å, 90.00 90.00 90.00°
With the nearest neighbours (Å) after each atom.
Positions (direct):
Ni  0.0000  0.0000  0.0000  4 Cr 2.53, 4 Si 2.53, 4 Ni 2.54
Ni  0.5000  0.5000  0.0000  4 Cr 2.53, 4 Si 2.53, 4 Ni 2.54
Si  0.5000  0.0000  0.5000  8 Ni 2.53, 4 Cr 2.54
Cr  0.0000  0.5000  0.5000  8 Ni 2.53, 4 Si 2.54

Summary:
Energy relative to the elements, uncorrected = -0.25 eV per atom
Symmetry = No. 123
Total DFT energy (no corrections) = -6.902 eV/atom


(5)
Entry from the Alexandria database: crystalline HfSe at its relaxed geometry (GGA-PBE).

Cell: 8.2689 8.2689 8.2689 Å, 90.00 90.00 90.00°
With the nearest neighbours (Å) after each atom.
Positions (direct):
Hf  0.8721  0.8721  0.8721  4 Se 2.65-2.70
Hf  0.3721  0.6279  0.6279  4 Se 2.65-2.70
Hf  0.1279  0.1279  0.8721  4 Se 2.65-2.70
Hf  0.8721  0.1279  0.1279  4 Se 2.65-2.70
Hf  0.1279  0.8721  0.1279  4 Se 2.65-2.70
Hf  0.3721  0.3721  0.3721  4 Se 2.65-2.70
Hf  0.6279  0.6279  0.3721  4 Se 2.65-2.70
Hf  0.6279  0.3721  0.6279  4 Se 2.65-2.70
Se  0.3166  0.6834  0.3166  4 Hf 2.65-2.70
Se  0.1834  0.1834  0.1834  4 Hf 2.65-2.70
Se  0.8166  0.8166  0.1834  4 Hf 2.65-2.70
Se  0.6834  0.3166  0.3166  4 Hf 2.65-2.70
Se  0.6834  0.6834  0.6834  4 Hf 2.65-2.70
Se  0.1834  0.8166  0.8166  4 Hf 2.65-2.70
Se  0.3166  0.3166  0.6834  4 Hf 2.65-2.70
Se  0.8166  0.1834  0.8166  4 Hf 2.65-2.70

Summary:
Energy relative to the elements, uncorrected = -0.47 eV per atom
Symmetry = No. 217
Total DFT energy (no corrections) = -7.191 eV/atom


(6)
Entry from the Alexandria database: crystalline Mn4AgPb at its relaxed geometry (GGA-PBE).

Cell: 5.1155 5.1155 5.1155 Å, 60.00 60.00 60.00°
With the nearest neighbours (Å) after each atom.
Positions (direct):
Mn  0.3749  0.3749  0.3749  6 Mn 2.56
Mn  0.8752  0.3749  0.3749  6 Mn 2.56
Mn  0.3749  0.3749  0.8752  6 Mn 2.56
Mn  0.3749  0.8752  0.3749  6 Mn 2.56
Pb  0.7500  0.7500  0.7500  12 Mn 3.00, 4 Ag 3.13
Ag  0.0000  0.0000  0.0000  12 Mn 3.00, 4 Pb 3.13

Summary:
Energy relative to the elements = 3.23 eV/f.u.
Symmetry = No. 216
Total DFT energy (no corrections) = -6.669 eV/atom


(7)
Entry from the Alexandria database: crystalline CeDy4N4 at its relaxed geometry (GGA-PBE).

Cell: 4.9265 6.0796 6.0799 Å, 80.54 66.10 66.10°
With the nearest neighbours (Å) after each atom.
Positions (direct):
Dy  0.1876  0.2048  0.4201  5 N 2.36-2.54
Dy  0.8124  0.7952  0.5799  5 N 2.36-2.54
Dy  0.6077  0.5799  0.2047  5 N 2.35-2.54
Dy  0.3923  0.4201  0.7953  5 N 2.35-2.54
Ce  0.0000  0.0000  0.0000  4 N 2.46
N  0.0968  0.6051  0.2013  5 Dy 2.36-2.54, 1 Ce 2.46
N  0.2981  0.7987  0.6051  5 Dy 2.35-2.54, 1 Ce 2.46
N  0.7019  0.2013  0.3949  5 Dy 2.35-2.54, 1 Ce 2.46
N  0.9032  0.3949  0.7987  5 Dy 2.36-2.54, 1 Ce 2.46

Summary:
Energy above the most stable polymorph in this dataset = 0.0 kJ/mol of atoms
Energy relative to the elements, uncorrected = -1.43 eV per atom
Symmetry = No. 87
Total DFT energy (no corrections) = -7.839 eV/atom


(8)
Entry from the Alexandria database: crystalline K3S at its relaxed geometry (GGA-PBE).

Cell: 4.4901 4.4901 8.8683 Å, 90.00 90.00 90.00°
With the nearest neighbours (Å) after each atom.
Positions (direct):
S  0.0000  0.0000  0.0834  8 K 3.17-3.38
K  0.0000  0.5000  0.3677  2 S 3.38, 2 K 3.38
K  0.5000  0.5000  0.0833  4 S 3.17, 4 K 3.38
K  0.5000  0.0000  0.7989  2 K 3.38, 2 S 3.38

Summary:
Energy relative to the elements, uncorrected = -0.60 eV per atom
Symmetry = No. 115
Total DFT energy (no corrections) = -2.453 eV/atom


(9)
Entry from the Alexandria database: crystalline Mn4NiGe2 at its relaxed geometry (GGA-PBE).

Cell: 4.3345 4.3345 7.1517 Å, 72.36 72.36 90.00°
With the nearest neighbours (Å) after each atom.
Positions (direct):
Ge  0.6239  0.6239  0.7522  5 Mn 2.50-2.69
Ge  0.3761  0.3761  0.2478  5 Mn 2.50-2.69
Ni  0.0000  0.0000  0.0000  6 Mn 2.17-2.36
Mn  0.0000  0.5000  0.0000  2 Ni 2.17
Mn  0.1825  0.1825  0.6350  1 Ni 2.36, 1 Ge 2.50
Mn  0.8175  0.8175  0.3650  1 Ni 2.36, 1 Ge 2.50
Mn  0.5000  0.0000  0.0000  2 Ni 2.17

Summary:
Energy relative to the elements = 3.62 eV/f.u.
Symmetry = No. 139
Total DFT energy (no corrections) = -6.867 eV/atom


(10)
Entry from the Alexandria database: crystalline AcTh2Zn2In2 at its relaxed geometry (GGA-PBE).

Cell: 4.7402 4.7402 10.3932 Å, 76.82 76.82 60.00°
With the nearest neighbours (Å) after each atom.
Positions (direct):
Zn  0.5868  0.5868  0.2397  3 In 2.74
Zn  0.4132  0.4132  0.7603  3 In 2.74
In  0.7401  0.7401  0.7798  3 Zn 2.74
In  0.2599  0.2599  0.2202  3 Zn 2.74
Th  0.8660  0.8660  0.4020  3 Zn 3.18, 3 In 3.29, 3 Th 3.37
Th  0.1340  0.1340  0.5980  3 Zn 3.18, 3 In 3.29, 3 Th 3.37
Ac  0.0000  0.0000  0.0000  6 In 3.52, 6 Zn 3.64

Summary:
Energy relative to the elements = -0.96 eV/f.u.
Symmetry = No. 166
Total DFT energy (no corrections) = -3.990 eV/atom


(11)
Entry from the Alexandria database: crystalline AlHO at its relaxed geometry (GGA-PBE).

Cell: 3.5765 3.5765 4.4376 Å, 90.00 90.00 90.00°
With the nearest neighbours (Å) after each atom.
Positions (direct):
Al  0.0000  0.5000  0.8396  1 H 1.58
Al  0.5000  0.0000  0.1604  1 H 1.58
O  0.0000  0.0000  0.0000  4 Al 1.92
O  0.5000  0.5000  0.0000  4 Al 1.92
H  0.0000  0.5000  0.4844  1 Al 1.58
H  0.5000  0.0000  0.5156  1 Al 1.58

Summary:
Energy above the most stable polymorph in this dataset = 2.3 kJ/mol of atoms
Symmetry = No. 129
Total DFT energy (no corrections) = -5.638 eV/atom


(12)
Entry from the Alexandria database: crystalline In2Sb at its relaxed geometry (GGA-PBE).

Cell: 5.9324 5.9324 6.3812 Å, 117.70 117.70 90.00°
With the nearest neighbours (Å) after each atom.
Positions (direct):
In  0.0810  0.5810  0.1619  3 Sb 3.07-3.18, 3 In 3.08-3.25
In  0.3310  0.3310  0.6619  3 Sb 3.07-3.18, 3 In 3.08-3.25
In  0.6690  0.6690  0.3381  3 Sb 3.07-3.18, 3 In 3.08-3.25
In  0.4190  0.9190  0.8381  3 Sb 3.07-3.18, 3 In 3.08-3.25
Sb  0.7500  0.2500  0.5000  6 In 3.07-3.18
Sb  0.0000  0.0000  0.0000  6 In 3.07-3.18

Summary:
Energy relative to the elements, uncorrected = 0.06 eV per atom
Symmetry = No. 141
Total DFT energy (no corrections) = -3.144 eV/atom


(13)
Entry from the Alexandria database: crystalline BMoI3 at its relaxed geometry (GGA-PBE).

Cell: 5.6609 5.6609 5.6609 Å, 90.00 90.00 90.00°
With the nearest neighbours (Å) after each atom.
Positions (direct):
I  0.5000  0.0000  0.0000  2 Mo 2.83
I  0.0000  0.5000  0.0000  2 Mo 2.83
I  0.0000  0.0000  0.5000  2 Mo 2.83
B  0.5000  0.5000  0.5000  12 I 4.00
Mo  0.0000  0.0000  0.0000  6 I 2.83

Summary:
Energy above the most stable polymorph in this dataset = 0.0 kJ/mol of atoms
Energy relative to the elements, uncorrected = 1.22 eV per atom
Symmetry = No. 221
Total DFT energy (no corrections) = -3.210 eV/atom


(14)
Entry from the Alexandria database: crystalline LaCoTe2 at its relaxed geometry (GGA-PBE).

Cell: 4.3155 4.3136 6.4025 Å, 90.00 90.00 90.00°
With the nearest neighbours (Å) after each atom.
Positions (direct):
Te  0.5000  0.5000  0.3346  1 La 3.00, 4 Co 3.17
Te  0.0000  0.0000  0.8928  1 Co 2.72
Co  0.0000  0.0000  0.4687  1 Te 2.72
La  0.5000  0.5000  0.8039  5 Te 3.00-3.10

Summary:
Energy relative to the elements, uncorrected = -0.51 eV per atom
Symmetry = No. 99
Total DFT energy (no corrections) = -5.088 eV/atom


(15)
Entry from the Alexandria database: crystalline PaBeIr at its relaxed geometry (GGA-PBE).

Cell: 5.2046 5.2046 5.2046 Å, 90.84 53.67 114.97°
With the nearest neighbours (Å) after each atom.
Positions (direct):
Be  0.0000  0.5000  0.5000  2 Be 2.35, 4 Ir 2.60
Be  0.5000  0.5000  0.0000  2 Be 2.35, 4 Ir 2.60
Pa  0.7500  0.8811  0.3689  6 Ir 2.90-3.07, 2 Pa 2.94, 6 Be 3.06-3.16
Pa  0.2500  0.1189  0.6311  6 Ir 2.90-3.07, 2 Pa 2.94, 6 Be 3.06-3.16
Ir  0.0000  0.5000  0.0000  4 Be 2.60, 2 Ir 2.80, 4 Pa 2.90
Ir  0.5000  0.0000  0.0000  4 Be 2.60, 2 Ir 2.80, 4 Pa 2.90

Summary:
Energy above the most stable polymorph in this dataset = 6.7 kJ/mol of atoms
Energy relative to the elements = -1.70 eV/f.u.
Symmetry = No. 74
Total DFT energy (no corrections) = -7.926 eV/atom


(16)
Entry from the Alexandria database: crystalline HoTmCdGe at its relaxed geometry (GGA-PBE).

Cell: 5.1006 5.1006 5.1006 Å, 60.00 60.00 60.00°
With the nearest neighbours (Å) after each atom.
Positions (direct):
Ho  0.7500  0.7500  0.7500  4 Ge 3.12, 4 Cd 3.12
Tm  0.2500  0.2500  0.2500  4 Cd 3.12, 4 Ge 3.12
Ge  0.5000  0.5000  0.5000  4 Tm 3.12, 4 Ho 3.12
Cd  0.0000  0.0000  0.0000  4 Ho 3.12, 4 Tm 3.12

Summary:
Energy relative to the elements = -1.78 eV/f.u.
Symmetry = No. 216
Total DFT energy (no corrections) = -4.091 eV/atom


(17)
Entry from the Alexandria database: crystalline CsNdTe2O6 at its relaxed geometry (GGA-PBE).

Cell: 7.2771 7.2771 7.9715 Å, 100.80 100.80 101.09°
With the nearest neighbours (Å) after each atom.
Positions (direct):
Te  0.9130  0.6764  0.6781  3 O 1.89-1.92
Te  0.3236  0.0870  0.8219  3 O 1.89-1.92
Te  0.6764  0.9130  0.1781  3 O 1.89-1.92
Te  0.0870  0.3236  0.3219  3 O 1.89-1.92
O  0.8087  0.7219  0.8777  1 Te 1.89
O  0.4759  0.6880  0.0626  1 Te 1.92
O  0.2781  0.1913  0.6223  1 Te 1.89
O  0.9008  0.4625  0.2596  1 Te 1.89
O  0.0992  0.5375  0.7404  1 Te 1.89
O  0.3120  0.5241  0.4374  1 Te 1.92
O  0.6880  0.4759  0.5626  1 Te 1.92
O  0.4625  0.9008  0.7596  1 Te 1.89
O  0.1913  0.2781  0.1223  1 Te 1.89
O  0.5241  0.3120  0.9374  1 Te 1.92
O  0.7219  0.8087  0.3777  1 Te 1.89
O  0.5375  0.0992  0.2404  1 Te 1.89
Cs  0.1716  0.8284  0.2500  4 O 3.02-3.12
Cs  0.8284  0.1716  0.7500  4 O 3.02-3.12
Nd  0.4433  0.5567  0.7500  8 O 2.45-2.62
Nd  0.5567  0.4433  0.2500  8 O 2.45-2.62

Summary:
Energy relative to the elements, uncorrected = -1.81 eV per atom
Symmetry = No. 15
Total DFT energy (no corrections) = -5.971 eV/atom


(18)
Entry from the Alexandria database: crystalline Y2MnGe at its relaxed geometry (GGA-PBE).

Cell: 5.7026 5.5063 5.7054 Å, 90.00 101.64 90.00°
With the nearest neighbours (Å) after each atom.
Positions (direct):
Mn  0.0310  0.2499  0.2330  2 Ge 2.54, 2 Mn 2.75
Mn  0.0310  0.7501  0.2330  2 Ge 2.54, 2 Mn 2.75
Ge  0.7355  0.0000  0.9374  2 Mn 2.54
Ge  0.3259  0.5000  0.5290  2 Mn 2.54
Y  0.4931  0.5000  0.0684  4 Ge 2.97-3.24, 4 Mn 3.27-3.32, 3 Y 3.28-3.31
Y  0.5681  0.0000  0.3980  4 Ge 2.97-3.23, 4 Mn 3.28-3.32, 3 Y 3.28-3.31
Y  0.8656  0.5000  0.6980  4 Ge 2.97-3.23, 3 Y 3.28-3.31, 4 Mn 3.29-3.31
Y  0.1958  0.0000  0.7687  4 Ge 2.97-3.23, 3 Y 3.28-3.31, 4 Mn 3.29-3.31

Summary:
Energy relative to the elements = -1.46 eV/f.u.
Symmetry = No. 11
Total DFT energy (no corrections) = -7.045 eV/atom


(19)
Entry from the Alexandria database: crystalline PmPr3Sm3 at its relaxed geometry (GGA-PBE).

Cell: 9.0491 9.0491 9.0491 Å, 58.64 58.64 58.64°
With the nearest neighbours (Å) after each atom.
Positions (direct):
Sm  0.1771  0.9378  0.7105  4 Sm 3.33-3.58, 4 Pr 3.36-3.70, 1 Pm 3.61
Sm  0.2895  0.8229  0.0622  4 Sm 3.33-3.58, 4 Pr 3.36-3.70, 1 Pm 3.61
Sm  0.0622  0.2895  0.8229  4 Sm 3.33-3.58, 4 Pr 3.36-3.70, 1 Pm 3.61
Sm  0.9378  0.7105  0.1771  4 Sm 3.33-3.58, 4 Pr 3.36-3.70, 1 Pm 3.61
Sm  0.7105  0.1771  0.9378  4 Sm 3.33-3.58, 4 Pr 3.36-3.70, 1 Pm 3.61
Sm  0.8229  0.0622  0.2895  4 Sm 3.33-3.58, 4 Pr 3.36-3.70, 1 Pm 3.61
Pm  0.6543  0.6543  0.6543  6 Sm 3.61-3.84, 6 Pr 3.72-3.84
Pm  0.3457  0.3457  0.3457  6 Sm 3.61-3.84, 6 Pr 3.72-3.84
Pr  0.5661  0.0699  0.7198  4 Sm 3.36-3.70, 2 Pr 3.70, 1 Pm 3.72
Pr  0.7198  0.5661  0.0699  4 Sm 3.36-3.70, 2 Pr 3.70, 1 Pm 3.72
Pr  0.9301  0.2802  0.4339  4 Sm 3.36-3.70, 2 Pr 3.70, 1 Pm 3.72
Pr  0.0699  0.7198  0.5661  4 Sm 3.36-3.70, 2 Pr 3.70, 1 Pm 3.72
Pr  0.2802  0.4339  0.9301  4 Sm 3.36-3.70, 2 Pr 3.70, 1 Pm 3.72
Pr  0.4339  0.9301  0.2802  4 Sm 3.36-3.70, 2 Pr 3.70, 1 Pm 3.72

Summary:
Energy above the most stable polymorph in this dataset = 0.0 kJ/mol of atoms
Energy relative to the elements = 1.40 eV/f.u.
Symmetry = No. 148
Total DFT energy (no corrections) = -4.549 eV/atom


(20)
Entry from the Alexandria database: crystalline La2CoAs at its relaxed geometry (GGA-PBE).

Cell: 3.7302 3.7302 7.0265 Å, 90.00 90.00 90.17°
With the nearest neighbours (Å) after each atom.
Positions (direct):
La  0.0000  0.0000  0.9988  4 Co 3.16-3.17, 4 As 3.17-3.18, 2 La 3.50-3.53
La  0.0000  0.0000  0.5012  4 Co 3.16-3.17, 4 As 3.17-3.18, 2 La 3.50-3.53
Co  0.5000  0.5000  0.7500  8 La 3.16-3.17, 2 As 3.51
As  0.5000  0.5000  0.2500  8 La 3.17-3.18, 2 Co 3.51

Summary:
Energy relative to the elements = -2.18 eV/f.u.
Symmetry = No. 65
Total DFT energy (no corrections) = -5.948 eV/atom


no.,magnetic moment (μB per cell)
1,2.013
2,0.006
3,4.550
4,2.999
5,0.001
6,10.806
7,0.542
8,0.000
9,14.581
10,0.000
11,0.000
12,0.000
13,4.000
14,2.062
15,0.000
16,0.000
17,0.000
18,4.423
19,0.000
20,0.579